# CaTa2Zn

A geometry-optimized CaTa2Zn structure (PBE, Alexandria).

```
CaTa2Zn
1.0
5.627 0.000 0.000
2.694 4.940 0.000
-4.160 -2.470 2.873
Ta Ca Zn
2 1 1
Cartesian
4.160 2.470 0.000 Ta
0.000 0.000 0.000 Ta
2.813 0.000 1.436 Ca
1.347 2.470 1.436 Zn
```

Calculated values
SG: I4/mmm, No. 139
Electronic total energy in eV per atom: -6.181
Formation energy from the elements in meV per atom: 564
Fermi-level density of states in states/eV/cell: 5.240



# CaTa2Zn

A geometry-optimized CaTa2Zn structure (PBE, Alexandria).

```
CaTa2Zn
1.0
5.068 -0.009 -0.001
4.244 2.771 -0.001
0.651 0.193 5.924
Ca Ta Zn
1 2 1
Cartesian
7.523 2.231 4.344 Ca
2.456 0.728 1.346 Ta
9.211 2.731 0.392 Ta
5.067 1.502 2.798 Zn
```

Calculated values
SG: Cm, No. 8
Electronic total energy in eV per atom: -6.308
Formation energy from the elements in meV per atom: 437
Fermi-level density of states in states/eV/cell: 3.182



# CaTa2Zn

A geometry-optimized CaTa2Zn structure (PBE, Alexandria).

```
CaTa2Zn
1.0
6.144 0.007 0.053
5.415 2.903 0.053
1.930 0.486 4.524
Ta Ca Zn
2 1 1
Cartesian
7.029 1.770 2.186 Ta
11.276 2.839 0.234 Ta
10.117 2.547 3.472 Ca
3.372 0.849 1.157 Zn
```

Calculated values
SG: C2/m, No. 12
Electronic total energy in eV per atom: -6.435
Formation energy from the elements in meV per atom: 310
Fermi-level density of states in states/eV/cell: 3.131